# 1
CsAc2PdO4 | GGA-PBE | relaxed

extended XYZ file:
```
16
Lattice="1.963 -6.414 0.000 1.963 6.414 0.000 0.000 0.000 13.401" Properties=species:S:1:pos:R:3 pbc="T T T"
Cs 1.963 4.962 10.051
Cs 1.963 -4.962 3.350
Ac 1.963 1.706 7.475
Ac 1.963 1.706 12.627
Ac 1.963 -1.706 0.774
Ac 1.963 -1.706 5.927
Pd 1.963 4.401 3.350
Pd 1.963 -4.401 10.051
O 0.000 0.000 0.000
O 0.000 0.000 6.701
O 1.963 3.196 1.178
O 1.963 3.196 5.523
O 1.963 1.378 10.051
O 1.963 -1.378 3.350
O 1.963 -3.196 7.878
O 1.963 -3.196 12.223
```

## Properties
Mass density in g/cm3: 7.453
Size of the total moment in Bohr magnetons per cell: 0.00
DOS at the Fermi energy in states/eV/cell: 5.8
Formation energy without anion corrections in eV per atom: -2.181


# 2
Ba3Sc2Se2O4 | GGA-PBE | relaxed

extended XYZ file:
```
11
Lattice="-2.168 2.168 12.222 2.168 -2.168 12.222 2.168 2.168 -12.222" Properties=species:S:1:pos:R:3 pbc="T T T"
Ba 0.000 0.000 0.000
Ba 0.000 0.000 3.963
Ba 0.000 0.000 20.480
Sc 0.000 0.000 10.083
Sc 0.000 0.000 14.360
Se 0.000 0.000 7.472
Se 0.000 0.000 16.971
O 2.168 0.000 1.819
O 2.168 0.000 10.402
O 0.000 2.168 1.819
O 0.000 2.168 10.402
```

## Properties
Mass density in g/cm3: 5.230
Size of the total moment in Bohr magnetons per cell: 0.00
Formation energy without anion corrections in eV per atom: -2.602


# 3
La3Y6Tm | GGA-PBE | relaxed

extended XYZ file:
```
10
Lattice="4.992 2.882 3.898 -4.992 2.882 3.898 0.000 -5.764 3.898" Properties=species:S:1:pos:R:3 pbc="T T T"
La 0.000 0.000 0.000
La 0.000 0.000 2.891
La 0.000 0.000 8.805
Y -1.738 -2.838 4.869
Y -3.327 0.087 6.826
Y -1.588 2.924 4.869
Y 1.588 -2.924 6.826
Y 3.327 -0.087 4.869
Y 1.738 2.838 6.826
Tm 0.000 0.000 5.848
```

## Properties
Energy of formation from the pure elements in eV/atom: 0.257
Mass density in g/cm3: 5.522
Size of the total moment in Bohr magnetons per cell: 0.01
DOS at the Fermi energy in states/eV/cell: 22.1


# 4
BaAl2SiH2 | GGA-PBE | relaxed

extended XYZ file:
```
12
Lattice="6.044 0.000 0.000 0.000 5.792 0.000 -2.911 0.000 6.177" Properties=species:S:1:pos:R:3 pbc="T T T"
Ba 1.492 1.448 0.004
Ba 1.640 4.344 6.173
Al 0.112 0.059 3.079
Al 0.112 2.836 3.079
Al 3.021 2.955 3.097
Al 3.021 5.732 3.097
Si -1.357 4.344 4.533
Si 4.489 1.448 1.644
H 0.294 1.448 4.245
H 1.486 1.448 2.539
H 1.647 4.344 3.638
H 2.839 4.344 1.932
```

## Properties
Mass density in g/cm3: 3.401
VASP energy in eV/atom: -3.6856
Size of the total moment in Bohr magnetons per cell: 0.00
DOS at the Fermi energy in states/eV/cell: 1.8


# 5
KSrV | GGA-PBE | relaxed

extended XYZ file:
```
6
Lattice="6.203 0.000 0.000 -3.102 5.372 0.000 0.000 0.000 7.179" Properties=species:S:1:pos:R:3 pbc="T T T"
K 0.000 0.000 0.000
K 0.000 0.000 3.590
Sr 0.000 3.581 1.795
Sr 3.102 1.791 5.385
V 0.000 3.581 5.385
V 3.102 1.791 1.795
```

## Properties
Energy of formation from the pure elements in eV/atom: 0.951
Mass density in g/cm3: 2.466
Size of the total moment in Bohr magnetons per cell: 9.66
DOS at the Fermi energy in states/eV/cell: 7.7


# 6
Zn2PW | GGA-PBE | relaxed

extended XYZ file:
```
4
Lattice="3.493 0.000 0.000 0.000 3.493 0.000 0.000 0.000 4.869" Properties=species:S:1:pos:R:3 pbc="T T T"
Zn 0.000 0.000 1.209
Zn 0.000 0.000 3.660
P 1.746 1.746 2.434
W 1.746 1.746 0.000
```

## Properties
Energy of formation from the pure elements in eV/atom: 0.236
Mass density in g/cm3: 9.662
Size of the total moment in Bohr magnetons per cell: 0.00
DOS at the Fermi energy in states/eV/cell: 1.8


# 7
YMg2W | GGA-PBE | relaxed

extended XYZ file:
```
4
Lattice="4.370 0.000 0.000 0.000 4.370 0.000 0.000 0.000 4.474" Properties=species:S:1:pos:R:3 pbc="T T T"
Y 0.000 0.000 0.000
Mg 0.000 2.185 2.237
Mg 2.185 0.000 2.237
W 2.185 2.185 0.000
```

## Properties
Energy of formation from the pure elements in eV/atom: 0.513
Mass density in g/cm3: 6.245
Size of the total moment in Bohr magnetons per cell: 0.00
DOS at the Fermi energy in states/eV/cell: 3.9


# 8
PuTh2Zn | GGA-PBE | relaxed

extended XYZ file:
```
4
Lattice="5.422 0.000 0.000 0.000 5.422 0.000 0.000 0.000 3.566" Properties=species:S:1:pos:R:3 pbc="T T T"
Pu 0.000 0.000 0.000
Th 0.000 2.711 1.783
Th 2.711 0.000 1.783
Zn 2.711 2.711 0.000
```

## Properties
Energy of formation from the pure elements in eV/atom: -0.039
Mass density in g/cm3: 12.252
Size of the total moment in Bohr magnetons per cell: 5.84
DOS at the Fermi energy in states/eV/cell: 7.0


# 9
PmNd6Sm3 | GGA-PBE | relaxed

extended XYZ file:
```
20
Lattice="5.534 -9.709 0.000 5.534 9.709 0.000 0.000 0.000 6.483" Properties=species:S:1:pos:R:3 pbc="T T T"
Pm 5.534 6.000 3.241
Pm 5.534 -6.000 0.000
Nd 5.534 9.038 4.857
Nd 2.933 4.038 1.519
Nd 5.534 4.267 6.221
Nd 3.658 0.780 0.344
Nd 3.658 -0.780 3.585
Nd 2.933 -4.038 4.760
Nd 8.135 4.038 1.519
Nd 7.410 0.780 0.344
Nd 7.410 -0.780 3.585
Nd 5.534 -4.267 2.980
Nd 8.135 -4.038 4.760
Nd 5.534 -9.038 1.616
Sm 1.939 2.281 4.197
Sm 1.939 -2.281 0.956
Sm 5.534 2.269 3.370
Sm 5.534 -2.269 0.129
Sm 9.129 2.281 4.197
Sm 9.129 -2.281 0.956
```

## Properties
Energy of formation from the pure elements in eV/atom: 0.134
Mass density in g/cm3: 6.968
Size of the total moment in Bohr magnetons per cell: 0.00
DOS at the Fermi energy in states/eV/cell: 27.1


# 10
BeCrSe | GGA-PBE | relaxed

extended XYZ file:
```
3
Lattice="2.936 0.000 0.000 -1.468 2.542 0.000 0.000 0.000 5.826" Properties=species:S:1:pos:R:3 pbc="T T T"
Be 0.000 0.000 0.000
Cr 1.468 0.847 1.692
Se 0.000 1.695 3.334
```

## Properties
Mass density in g/cm3: 5.345
Size of the total moment in Bohr magnetons per cell: 0.20
DOS at the Fermi energy in states/eV/cell: 1.6
Formation energy without anion corrections in eV per atom: 0.295


# 11
Ni5PdS8 | GGA-PBE | relaxed

extended XYZ file:
```
14
Lattice="0.000 4.789 4.789 4.789 0.000 4.789 4.789 4.789 0.000" Properties=species:S:1:pos:R:3 pbc="T T T"
Ni 0.000 0.000 0.000
Ni 3.589 3.589 3.589
Ni 5.989 5.989 3.589
Ni 5.989 3.589 5.989
Ni 3.589 5.989 5.989
Pd 7.183 7.183 7.183
S 1.283 1.283 1.283
S 3.506 3.506 1.283
S 3.506 1.283 3.506
S 5.848 3.730 3.730
S 1.283 3.506 3.506
S 3.730 5.848 3.730
S 3.730 3.730 5.848
S 5.848 5.848 5.848
```

## Properties
Mass density in g/cm3: 4.962
Size of the total moment in Bohr magnetons per cell: 0.00
DOS at the Fermi energy in states/eV/cell: 6.6
Formation energy without anion corrections in eV per atom: -0.338


# 12
PuGaCu2 | GGA-PBE | relaxed

extended XYZ file:
```
4
Lattice="2.562 0.000 0.000 0.000 2.562 0.000 0.000 0.000 8.739" Properties=species:S:1:pos:R:3 pbc="T T T"
Pu 0.000 0.000 0.000
Ga 0.000 0.000 4.369
Cu 1.281 1.281 2.445
Cu 1.281 1.281 6.294
```

## Properties
Energy of formation from the pure elements in eV/atom: 0.192
Mass density in g/cm3: 12.762
Size of the total moment in Bohr magnetons per cell: 0.00
DOS at the Fermi energy in states/eV/cell: 4.9